Entry 1:
CaMn2Pt at its PBEsol-relaxed geometry. Source: Alexandria, functional meta-GGA SCAN.

- E (eV/atom) = -29.483
- energy of formation (eV per formula unit) = -1.6

Unit cell a=2.9794 b=3.2307 c=7.0417 alpha=90.00 beta=90.00 gamma=90.00
Space group Pmm2 (No. 25)
Symmetry-distinct sites (fractional):
Ca 0.0000 0.0000 0.0000 x1
Mn 0.0000 0.0000 0.4977 x1
Mn 0.5000 0.5000 0.3429 x1
Pt 0.5000 0.5000 0.7136 x1



Entry 2:
Sr3HfF at its PBEsol-relaxed geometry. Source: Alexandria, functional meta-GGA SCAN.

- E (eV/atom) = -26.130
- energy relative to the elements, uncorrected (meV/atom) = 478

Unit cell a=6.3490 b=6.3490 c=6.3490 alpha=90.00 beta=90.00 gamma=90.00
Space group Pm-3m (No. 221)
Symmetry-distinct sites (fractional):
Sr 0.0000 0.0000 0.5000 x3
Hf 0.0000 0.0000 0.0000 x1
F 0.5000 0.5000 0.5000 x1



Entry 3:
Zr2ZnCd at its PBEsol-relaxed geometry. Source: Alexandria, functional meta-GGA SCAN.

- E above lowest polymorph (meV per atom) = 0
- E (eV/atom) = -26.578
- energy of formation (eV per formula unit) = -1.0

Unit cell a=6.7669 b=6.7669 c=6.7669 alpha=90.00 beta=90.00 gamma=90.00
Space group Fm-3m (No. 225)
Symmetry-distinct sites (fractional):
Zr 0.2500 0.2500 0.2500 x8
Zn 0.0000 0.0000 0.0000 x4
Cd 0.0000 0.0000 0.5000 x4



Entry 4:
ScRe2Ni at its PBEsol-relaxed geometry. Source: Alexandria, functional meta-GGA SCAN.

- E above lowest polymorph (meV per atom) = 200
- E (eV/atom) = -42.987
- energy of formation (eV per formula unit) = 0.7

Unit cell a=5.2602 b=8.3917 c=2.6463 alpha=90.00 beta=90.00 gamma=90.00
Space group Cmmm (No. 65)
Symmetry-distinct sites (fractional):
Sc 0.0000 0.0000 0.0000 x2
Re 0.2500 0.2500 0.5000 x4
Ni 0.0000 0.5000 0.0000 x2



Entry 5:
Na2FeAu at its PBEsol-relaxed geometry. Source: Alexandria, functional meta-GGA SCAN.

- E (eV/atom) = -23.576
- energy of formation (eV per formula unit) = 1.4

Unit cell a=6.7417 b=6.7417 c=6.7417 alpha=90.00 beta=90.00 gamma=90.00
Space group Fm-3m (No. 225)
Symmetry-distinct sites (fractional):
Na 0.2500 0.2500 0.2500 x8
Fe 0.0000 0.0000 0.0000 x4
Au 0.0000 0.0000 0.5000 x4



Entry 6:
LaInMo2 at its PBEsol-relaxed geometry. Source: Alexandria, functional meta-GGA SCAN.

- E (eV/atom) = -35.943
- energy of formation (eV per formula unit) = 2.5

Unit cell a=6.2402 b=9.3799 c=2.9068 alpha=90.00 beta=113.84 gamma=90.00
Space group C2/m (No. 12)
Symmetry-distinct sites (fractional):
La 0.0000 0.0000 0.0000 x2
In 0.0000 0.5000 0.0000 x2
Mo 0.2500 0.2500 0.5000 x4



Entry 7:
Ca4Ir at its PBEsol-relaxed geometry. Source: Alexandria, functional meta-GGA SCAN.

- E (eV/atom) = -22.168
- energy of formation (eV per formula unit) = -1.1

Unit cell a=9.3779 b=9.3779 c=3.5397 alpha=90.00 beta=90.00 gamma=90.00
Space group I4/m (No. 87)
Symmetry-distinct sites (fractional):
Ca 0.0602 0.7582 0.0000 x8
Ir 0.0000 0.0000 0.5000 x2



Entry 8:
LaYTiCd2 at its PBEsol-relaxed geometry. Source: Alexandria, functional meta-GGA SCAN.

- E (eV/atom) = -29.325
- energy of formation (eV per formula unit) = 1.2

Unit cell a=5.2825 b=5.2825 c=4.9226 alpha=90.00 beta=90.00 gamma=90.00
Space group P4/mmm (No. 123)
Symmetry-distinct sites (fractional):
La 0.0000 0.0000 0.0000 x1
Y 0.5000 0.5000 0.0000 x1
Ti 0.5000 0.5000 0.5000 x1
Cd 0.0000 0.5000 0.5000 x2



Entry 9:
Si2Ge2Ru at its PBEsol-relaxed geometry. Source: Alexandria, functional meta-GGA SCAN.

- E (eV/atom) = -18.224
- energy relative to the elements, uncorrected (meV/atom) = 383

Unit cell a=3.2232 b=3.2232 c=15.3044 alpha=90.00 beta=90.00 gamma=90.00
Space group I4/mmm (No. 139)
Symmetry-distinct sites (fractional):
Si 0.0000 0.5000 0.2500 x4
Ge 0.0000 0.0000 0.0922 x4
Ru 0.0000 0.0000 0.5000 x2



Entry 10:
MgFeMo2 at its PBEsol-relaxed geometry. Source: Alexandria, functional meta-GGA SCAN.

- E (eV/atom) = -22.948
- energy of formation (eV per formula unit) = 1.1

Unit cell a=2.6131 b=4.3237 c=5.2423 alpha=90.00 beta=98.46 gamma=90.00
Space group Pm (No. 6)
Symmetry-distinct sites (fractional):
Mg 0.0000 0.0000 0.0000 x1
Fe 0.2201 0.5000 0.7518 x1
Mo 0.4777 0.0000 0.5092 x1
Mo 0.6873 0.5000 0.2661 x1



Entry 11:
MgTi4S8 at its PBEsol-relaxed geometry. Source: Alexandria, functional meta-GGA SCAN.

- E (eV/atom) = -12.769
- energy relative to the elements, uncorrected (meV/atom) = -1529

Unit cell a=6.9405 b=6.9405 c=16.8455 alpha=90.00 beta=90.00 gamma=120.00
Space group R-3m (No. 166, hexagonal axes)
Symmetry-distinct sites (fractional):
Mg 0.0000 0.0000 0.0000 x3
Ti 0.0000 0.0000 0.5000 x3
Ti 0.0000 0.5000 0.0000 x9
S 0.0000 0.0000 0.2526 x6
S 0.0059 0.5029 0.2488 x18



Entry 12:
BAs2RuBr at its PBEsol-relaxed geometry. Source: Alexandria, functional meta-GGA SCAN.

- E above lowest polymorph (meV per atom) = 9
- E (eV/atom) = -19.183
- energy relative to the elements, uncorrected (meV/atom) = 1236

Unit cell a=4.6089 b=4.6089 c=5.3197 alpha=90.00 beta=90.00 gamma=90.00
Space group P4/mmm (No. 123)
Symmetry-distinct sites (fractional):
B 0.0000 0.0000 0.0000 x1
As 0.0000 0.5000 0.5000 x2
Ru 0.5000 0.5000 0.5000 x1
Br 0.5000 0.5000 0.0000 x1



Entry 13:
CaHfRe2C at its PBEsol-relaxed geometry. Source: Alexandria, functional meta-GGA SCAN.

- E (eV/atom) = -40.840
- energy of formation (eV per formula unit) = 20.4

Unit cell a=4.4137 b=4.4137 c=4.9649 alpha=90.00 beta=90.00 gamma=90.00
Space group P4/mmm (No. 123)
Symmetry-distinct sites (fractional):
Ca 0.0000 0.0000 0.0000 x1
Hf 0.0000 0.0000 0.5000 x1
Re 0.0000 0.5000 0.0000 x2
C 0.5000 0.5000 0.5000 x1



Entry 14:
Ce4Al23Ni6 at its PBEsol-relaxed geometry. Source: Alexandria, functional meta-GGA SCAN.

- E (eV/atom) = -14.293
- energy of formation (eV per formula unit) = -18.1

Unit cell a=15.8402 b=4.0764 c=18.1403 alpha=90.00 beta=113.16 gamma=90.00
Space group C2/m (No. 12)
Symmetry-distinct sites (fractional):
Ce 0.0709 0.0000 0.4075 x4
Ce 0.2346 0.0000 0.7821 x4
Al 0.0000 0.5000 0.5000 x2
Al 0.0317 0.0000 0.7803 x4
Al 0.0676 0.0000 0.9395 x4
Al 0.0817 0.5000 0.6866 x4
Al 0.0903 0.5000 0.0485 x4
Al 0.0898 0.5000 0.2790 x4
Al 0.1091 0.0000 0.1616 x4
Al 0.1229 0.0000 0.5959 x4
Al 0.1428 0.5000 0.8575 x4
Al 0.2025 0.5000 0.5212 x4
Al 0.2247 0.0000 0.3230 x4
Al 0.2440 0.0000 0.9538 x4
Ni 0.0082 0.5000 0.1343 x4
Ni 0.1904 0.0000 0.0679 x4
Ni 0.2264 0.5000 0.3979 x4



Entry 15:
MoPt8 at its PBEsol-relaxed geometry. Source: Alexandria, functional meta-GGA SCAN.

- E (eV/atom) = -66.453
- energy of formation (eV per formula unit) = -1.6

Unit cell a=8.3165 b=8.3165 c=3.8902 alpha=90.00 beta=90.00 gamma=90.00
Space group I4/mmm (No. 139)
Symmetry-distinct sites (fractional):
Mo 0.0000 0.0000 0.0000 x2
Pt 0.0000 0.3291 0.0000 x8
Pt 0.1615 0.1615 0.5000 x8



Entry 16:
CrAgAsBr2 at its PBEsol-relaxed geometry. Source: Alexandria, functional meta-GGA SCAN.

- E (eV/atom) = -21.723
- energy relative to the elements, uncorrected (meV/atom) = 49

Unit cell a=5.0328 b=5.0328 c=4.6817 alpha=90.00 beta=90.00 gamma=90.00
Space group P4/mmm (No. 123)
Symmetry-distinct sites (fractional):
Cr 0.0000 0.0000 0.0000 x1
Ag 0.5000 0.5000 0.5000 x1
As 0.0000 0.0000 0.5000 x1
Br 0.0000 0.5000 0.0000 x2



Entry 17:
ScPt2Rh at its PBEsol-relaxed geometry. Source: Alexandria, functional meta-GGA SCAN.

- E (eV/atom) = -47.907
- energy of formation (eV per formula unit) = -3.2

Unit cell a=2.9017 b=4.4657 c=4.7334 alpha=90.00 beta=90.00 gamma=90.00
Space group Pmm2 (No. 25)
Symmetry-distinct sites (fractional):
Sc 0.0000 0.0000 0.0000 x1
Pt 0.5000 0.0000 0.4860 x1
Pt 0.5000 0.5000 0.8426 x1
Rh 0.0000 0.5000 0.3589 x1



Entry 18:
Sc2Rh at its PBEsol-relaxed geometry. Source: Alexandria, functional meta-GGA SCAN.

- E (eV/atom) = -21.545
- energy of formation (eV per formula unit) = -2.4

Unit cell a=12.1440 b=12.1440 c=12.1440 alpha=90.00 beta=90.00 gamma=90.00
Space group Fd-3m (No. 227, origin choice 2)
Symmetry-distinct sites (fractional):
Sc 0.0000 0.0000 0.0000 x16
Sc 0.0612 0.3750 0.8750 x48
Rh 0.0352 0.0352 0.2148 x32



Entry 19:
SrAlGaI2 at its PBEsol-relaxed geometry. Source: Alexandria, functional meta-GGA SCAN.

- E (eV/atom) = -24.205
- energy relative to the elements, uncorrected (meV/atom) = -234

Unit cell a=5.7833 b=5.7833 c=5.0121 alpha=90.00 beta=90.00 gamma=90.00
Space group P4/mmm (No. 123)
Symmetry-distinct sites (fractional):
Sr 0.0000 0.0000 0.0000 x1
Al 0.5000 0.5000 0.0000 x1
Ga 0.5000 0.5000 0.5000 x1
I 0.0000 0.5000 0.5000 x2



Entry 20:
CdHgS2 at its PBEsol-relaxed geometry. Source: Alexandria, functional meta-GGA SCAN.

- E above lowest polymorph (meV per atom) = 66
- E (eV/atom) = -29.841
- energy relative to the elements, uncorrected (meV/atom) = -382

Unit cell a=4.0791 b=4.0791 c=21.5828 alpha=90.00 beta=90.00 gamma=120.00
Space group R-3m (No. 166, hexagonal axes)
Symmetry-distinct sites (fractional):
Cd 0.0000 0.0000 0.0000 x3
Hg 0.0000 0.0000 0.5000 x3
S 0.0000 0.0000 0.3927 x6



Entry 21:
TcRhBr2 at its PBEsol-relaxed geometry. Source: Alexandria, functional meta-GGA SCAN.

- E above lowest polymorph (meV per atom) = 0
- E (eV/atom) = -26.634
- energy relative to the elements, uncorrected (meV/atom) = 303

Unit cell a=12.6324 b=3.0564 c=4.5113 alpha=90.00 beta=97.44 gamma=90.00
Space group C2/m (No. 12)
Symmetry-distinct sites (fractional):
Tc 0.0000 0.0000 0.0000 x2
Rh 0.0000 0.5000 0.5000 x2
Br 0.1486 0.5000 0.2080 x4



Entry 22:
Na2Sr2Ca at its PBEsol-relaxed geometry. Source: Alexandria, functional meta-GGA SCAN.

- E (eV/atom) = -12.470
- energy of formation (eV per formula unit) = 0.3

Unit cell a=9.7256 b=9.7256 c=4.5702 alpha=90.00 beta=90.00 gamma=90.00
Space group P4/mbm (No. 127)
Symmetry-distinct sites (fractional):
Na 0.1228 0.3772 0.0000 x4
Sr 0.1764 0.6764 0.5000 x4
Ca 0.0000 0.0000 0.0000 x2



Entry 23:
Na2LiMg2 at its PBEsol-relaxed geometry. Source: Alexandria, functional meta-GGA SCAN.

- E (eV/atom) = -3.937
- energy of formation (eV per formula unit) = 1.1

Unit cell a=9.1700 b=9.1700 c=3.3504 alpha=90.00 beta=90.00 gamma=90.00
Space group P4/mbm (No. 127)
Symmetry-distinct sites (fractional):
Na 0.1280 0.3720 0.0000 x4
Li 0.0000 0.0000 0.0000 x2
Mg 0.1705 0.6705 0.5000 x4



Entry 24:
GeTe2N2 at its PBEsol-relaxed geometry. Source: Alexandria, functional meta-GGA SCAN.

- E (eV/atom) = -21.008
- energy relative to the elements, uncorrected (meV/atom) = 1426

Unit cell a=4.0409 b=4.0409 c=6.0822 alpha=90.00 beta=90.00 gamma=90.00
Space group P4/mmm (No. 123)
Symmetry-distinct sites (fractional):
Ge 0.0000 0.0000 0.0000 x1
Te 0.5000 0.5000 0.0000 x1
Te 0.5000 0.5000 0.5000 x1
N 0.0000 0.5000 0.5000 x2



Entry 25:
Zr2Rh at its PBEsol-relaxed geometry. Source: Alexandria, functional meta-GGA SCAN.

- E (eV/atom) = -32.336
- energy of formation (eV per formula unit) = -1.8

Unit cell a=3.4138 b=14.0436 c=4.6284 alpha=90.00 beta=90.00 gamma=90.00
Space group Cmcm (No. 63)
Symmetry-distinct sites (fractional):
Zr 0.0000 0.0765 0.2500 x4
Zr 0.0000 0.2396 0.7500 x4
Rh 0.0000 0.4203 0.2500 x4



Quick rundown of M_tot, same order as above: 0.01 1.01 0.00 0.00 0.84 0.00 0.02 0.45 0.00 0.60 0.00 0.00 0.00 0.09 0.00 0.41 0.00 0.00 0.00 0.00 0.44 0.00 0.00 0.00 0.00 μB per atom